VASP calculation (PBE) on an optimized crystal structure of RbIn2PdAu.

Results
* SG: P4/mmm
* E_form: -0.173 eV/atom

a b c (Å): 5.1752 5.1752 5.5158
angles (deg): 90.00 90.00 90.00
With the nearest neighbours (Å) after each atom.
Atoms (fractional coordinates):
1 Rb 0.0000 0.0000 0.0000  4 Au 3.66, 8 In 3.78
2 In 0.0000 0.5000 0.5000  2 Pd 2.59
3 In 0.5000 0.0000 0.5000  2 Pd 2.59
4 Pd 0.5000 0.5000 0.5000  4 In 2.59, 2 Au 2.76
5 Au 0.5000 0.5000 0.0000  2 Pd 2.76